1.
# CaPrAlAg

A relaxed CaPrAlAg crystal (PBE, Alexandria via LeMat-Bulk).

Output
VASP energy = -3.63 eV/atom
ΔE_f = -291 meV per atom
Fermi-level density of states = 3.033 states/eV per cell

a = 5.303 Å, b = 5.303 Å, c = 5.303 Å
α = 60.00°, β = 60.00°, γ = 60.00°
Element x y z (fractional)
1 Al 0.750 0.750 0.750
2 Ca 0.500 0.500 0.500
3 Ag 0.250 0.250 0.250
4 Pr 0.000 0.000 0.000

=====

2.
# CoCuAsRu

A relaxed CoCuAsRu crystal (PBE, Alexandria via LeMat-Bulk).

Output
VASP energy = -6.24 eV/atom
ΔE_f = 43 meV per atom
Fermi-level density of states = 3.173 states/eV per cell

a = 4.152 Å, b = 4.152 Å, c = 4.152 Å
α = 60.00°, β = 60.00°, γ = 60.00°
Element x y z (fractional)
1 Co 0.250 0.250 0.250
2 Cu 0.000 0.000 0.000
3 Ru 0.750 0.750 0.750
4 As 0.500 0.500 0.500

=====

3.
# CeTm2Pb3

A relaxed CeTm2Pb3 crystal (PBE, Alexandria via LeMat-Bulk).

Output
VASP energy = -4.75 eV/atom
ΔE_f = -418 meV per atom
Fermi-level density of states = 14.908 states/eV per cell

a = 6.303 Å, b = 6.440 Å, c = 9.139 Å
α = 110.63°, β = 100.17°, γ = 90.00°
Last column: magnetic moment on the atom in μB.
Element x y z (fractional)
1 Pb 0.915 0.704 0.659  0.00
2 Tm 0.422 0.459 0.669  -0.01
3 Tm 0.578 0.541 0.331  -0.01
4 Pb 0.585 0.046 0.341  0.00
5 Pb 0.085 0.296 0.341  0.00
6 Pb 0.415 0.954 0.659  0.00
7 Tm 0.922 0.209 0.669  -0.01
8 Pb 0.250 0.389 0.000  -0.01
9 Tm 0.078 0.791 0.331  -0.01
10 Pb 0.750 0.611 0.000  -0.01
11 Ce 0.750 0.108 0.000  0.75
12 Ce 0.250 0.892 0.000  0.75

=====

4.
# Ba2TcTeSe

A relaxed Ba2TcTeSe crystal (PBE, Alexandria via LeMat-Bulk).

Output
VASP energy = -4.73 eV/atom
Fermi-level density of states = 3.964 states/eV per cell
Energy relative to the elements, uncorrected = -561.8 meV per atom

a = 6.333 Å, b = 6.333 Å, c = 4.645 Å
α = 90.00°, β = 90.00°, γ = 90.00°
Last column: magnetic moment on the atom in μB.
Element x y z (fractional)
1 Tc 0.000 0.000 0.500  1.51
2 Ba 0.500 0.000 0.000  -0.01
3 Ba 0.000 0.500 0.000  -0.01
4 Te 0.500 0.500 0.500  0.06
5 Se 0.000 0.000 0.000  0.00

=====

Which value of VASP energy does entry 4 give? -4.73 eV/atom